An optimized crystal structure of HfOsPt2Pb, computed with PBEsol.

POSCAR file:
```
HfOsPt2Pb
1.0
4.832 0.000 0.000
0.000 4.832 0.000
0.000 0.000 4.925
Pt Pb Hf Os
2 1 1 1
Direct
0.500 0.000 0.000
0.000 0.500 0.000
0.000 0.000 0.000
0.500 0.500 0.500
0.000 0.000 0.500
```

Values from the calculation:
E_form	162	kJ per mole of atoms
space group	P4/mmm, No. 123
total magnetic moment	0.98	μB per formula unit
theoretical density	13.95	Mg/m³